(1)
## KCuTe (PBE)

Data for a relaxed KCuTe crystal.

Cell lengths 7.008, 7.008, 5.283 Å; angles 90.00, 90.00, 120.00 degrees
Element x y z (fractional)
Cu 0.217 0.000 0.000
Cu 0.000 0.217 0.000
Cu 0.783 0.783 0.000
K 0.532 0.000 0.500
K 0.468 0.468 0.500
K 0.000 0.532 0.500
Te 0.667 0.333 0.000
Te 0.333 0.667 0.000
Te 0.000 0.000 0.500

Calculated values
**Space group**: P-62m, No. 189
**Crystal system**: hexagonal
**Energy**: -3.038 eV per atom

---

(2)
## KCuTe (PBE)

Data for a relaxed KCuTe crystal.

Cell lengths 5.427, 5.427, 6.559 Å; angles 90.00, 90.00, 120.00 degrees
Element x y z (fractional)
Cu 0.000 0.000 0.000
Cu 0.000 0.000 0.500
K 0.667 0.333 0.250
K 0.333 0.667 0.750
Te 0.333 0.667 0.250
Te 0.667 0.333 0.750

Calculated values
**Space group**: P6_3/mmc, No. 194
**Crystal system**: hexagonal
**Energy**: -2.518 eV per atom